Record 1
An optimized crystal structure of Ce5PuIn2. Source: Alexandria, functional PBE-GGA.

abc: 6.5516 6.5586 6.6611
angles: 117.56 117.52 93.46
Closest atoms and distances in Å follow each position.
Element x y z (fractional)
Ce: 0.2194 0.7805 0.0000  1 Ce 2.81, 1 Pu 3.11
Ce: 0.2962 0.2950 0.5239  1 Pu 2.86, 1 Ce 3.05
In: 0.7542 0.2554 0.4476  10 Ce 3.27-3.55, 2 Pu 3.43-3.59
Ce: 0.2800 0.3606 0.0000  4 Ce 2.81-3.05
In: 0.3066 0.8079 0.5524  10 Ce 3.27-3.55, 2 Pu 3.43-3.59
Pu: 0.7514 0.6724 0.0000  3 Ce 2.68-2.86
Ce: 0.8430 0.2801 0.0000  1 Pu 2.68, 1 Ce 2.88
Ce: 0.7722 0.7711 0.4761  1 Pu 2.86, 1 Ce 3.05

Computed properties:
The density of states at the Fermi level is 17.9 states/eV/f.u. The total energy comes out at -51.081 eV per cell. As for the energy above the most stable polymorph in this dataset: 0.0 meV/atom. For the formation energy, the calculation gives -200 meV per atom.

***

Record 2
An optimized crystal structure of CaYO2. Source: Alexandria, functional PBE-GGA.

abc: 3.3894 3.3894 5.9926
angles: 73.57 73.57 60.00
Closest atoms and distances in Å follow each position.
Element x y z (fractional)
O: 0.7503 0.7503 0.7490  3 Y 2.41, 3 Ca 2.42
O: 0.2497 0.2497 0.2510  3 Y 2.41, 3 Ca 2.42
Ca: 0.0000 0.0000 0.0000  6 O 2.42
Y: 0.5000 0.5000 0.5000  6 O 2.41

Computed properties:
As for the raw formation energy: -2.8497 eV per atom. The density of states at the Fermi level is 0.7 states/eV/f.u. The total energy comes out at -29.781 eV per cell. As for the energy above the most stable polymorph in this dataset: 0.0 meV/atom.

***

Record 3
An optimized crystal structure of RbIn2PbI4. Source: Alexandria, functional PBE-GGA.

abc: 5.5688 8.3077 8.3281
angles: 115.38 90.00 90.00
Closest atoms and distances in Å follow each position.
Element x y z (fractional)
I: 0.5000 0.7298 0.7528  1 Pb 3.36, 3 In 3.52-3.68, 2 Rb 3.61
I: 0.0000 0.2699 0.7585  3 In 3.44-3.64, 2 Pb 3.49, 1 Rb 3.60
I: 0.5000 0.2702 0.2472  1 Pb 3.36, 3 In 3.52-3.68, 2 Rb 3.61
In: 0.0000 0.5000 0.5000  6 I 3.44-3.52
Rb: 0.0000 0.0000 0.0000  6 I 3.60-3.61
Pb: 0.5000 0.5000 0.0000  6 I 3.36-3.49
I: 0.0000 0.7301 0.2415  3 In 3.44-3.64, 2 Pb 3.49, 1 Rb 3.60
In: 0.5000 0.0000 0.5000  6 I 3.64-3.68

Computed properties:
As for the raw formation energy: -0.5842 eV per atom. The density of states at the Fermi level is 2.2 states/eV/f.u. The total energy comes out at -21.027 eV per cell.

***

Record 4
An optimized crystal structure of TmTiO. Source: Alexandria, functional PBE-GGA.

abc: 3.1156 3.1156 11.0541
angles: 90.00 90.00 120.00
Closest atoms and distances in Å follow each position.
Element x y z (fractional)
O: 0.6667 0.3333 0.9491  6 Ti 2.24
O: 0.3333 0.6667 0.4491  6 Tm 2.40-2.41
Ti: 0.3333 0.6667 0.0702  3 O 2.24
Tm: 0.6667 0.3333 0.5935  3 O 2.40
Tm: 0.6667 0.3333 0.3047  3 O 2.41
Ti: 0.3333 0.6667 0.8278  3 O 2.24

Computed properties:
As for the raw formation energy: -1.4650 eV per atom. The density of states at the Fermi level is 3.0 states/eV/f.u. The total energy comes out at -43.439 eV per cell.

***

Record 5
An optimized crystal structure of Tb4CoCl5. Source: Alexandria, functional PBE-GGA.

abc: 3.8283 8.2072 9.7350
angles: 89.71 101.34 90.00
Closest atoms and distances in Å follow each position.
Element x y z (fractional)
Cl: 0.1558 0.2340 0.3117  3 Tb 2.74-2.98
Co: 0.5000 0.0000 0.0000  6 Tb 2.62-2.63
Tb: 0.3623 0.0016 0.7245  1 Co 2.63, 4 Cl 2.74
Cl: 0.1556 0.7623 0.3113  3 Tb 2.74-2.97
Cl: 0.8442 0.7660 0.6883  3 Tb 2.74-2.98
Cl: 0.5000 0.5000 0.0000  4 Tb 3.00
Tb: 0.9999 0.2188 0.9999  2 Co 2.62
Tb: 0.6377 0.9984 0.2755  1 Co 2.63, 4 Cl 2.74
Tb: 0.0001 0.7812 0.0001  2 Co 2.62
Cl: 0.8444 0.2377 0.6887  3 Tb 2.74-2.97

Computed properties:
As for the raw formation energy: -1.5639 eV per atom. The density of states at the Fermi level is 1.9 states/eV/f.u. The total energy comes out at -50.499 eV per cell. As for the energy above the most stable polymorph in this dataset: 25.4 meV/atom.

***

Record 6
An optimized crystal structure of NdY2Ho3Se6. Source: Alexandria, functional PBE-GGA.

abc: 7.0869 7.0869 7.1199
angles: 99.51 99.51 120.27
Closest atoms and distances in Å follow each position.
Element x y z (fractional)
Se: 0.4282 0.0859 0.2587  3 Ho 2.86-2.89, 2 Y 2.90-2.91, 1 Nd 2.98
Ho: 0.5000 0.5000 0.5000  6 Se 2.83-2.89
Y: 0.3344 0.6656 0.0000  6 Se 2.88-2.91
Se: 0.9141 0.5718 0.7413  3 Ho 2.86-2.89, 2 Y 2.90-2.91, 1 Nd 2.98
Se: 0.7432 0.7432 0.2544  3 Ho 2.83-2.85, 2 Y 2.88, 1 Nd 2.96
Y: 0.6656 0.3344 0.0000  6 Se 2.88-2.91
Ho: 0.1607 0.8393 0.5000  6 Se 2.85-2.89
Ho: 0.8393 0.1607 0.5000  6 Se 2.85-2.89
Nd: 0.0000 0.0000 0.0000  6 Se 2.96-2.98
Se: 0.0859 0.4282 0.2587  3 Ho 2.86-2.89, 2 Y 2.90-2.91, 1 Nd 2.98
Se: 0.5718 0.9141 0.7413  3 Ho 2.86-2.89, 2 Y 2.90-2.91, 1 Nd 2.98
Se: 0.2568 0.2568 0.7456  3 Ho 2.83-2.85, 2 Y 2.88, 1 Nd 2.96

Computed properties:
As for the raw formation energy: -1.7574 eV per atom. The density of states at the Fermi level is 5.5 states/eV/f.u. The total energy comes out at -73.426 eV per cell.

***

Record 7
An optimized crystal structure of CrIr2Au. Source: Alexandria, functional PBE-GGA.

abc: 4.4423 4.4423 4.4423
angles: 60.00 60.00 60.00
Closest atoms and distances in Å follow each position.
Element x y z (fractional)
Cr: 0.2500 0.2500 0.2500  4 Au 2.72, 4 Ir 2.72
Ir: 0.0000 0.0000 0.0000  4 Cr 2.72, 4 Ir 2.72
Ir: 0.7500 0.7500 0.7500  4 Ir 2.72, 4 Au 2.72
Au: 0.5000 0.5000 0.5000  4 Cr 2.72, 4 Ir 2.72

Computed properties:
The density of states at the Fermi level is 7.5 states/eV/f.u. The total energy comes out at -28.828 eV per cell. As for the energy above the most stable polymorph in this dataset: 424.7 meV/atom. For the formation energy, the calculation gives 449 meV per atom.

***

Record 8
An optimized crystal structure of LiBe3Ir. Source: Alexandria, functional PBE-GGA.

abc: 4.2623 4.2623 4.2623
angles: 90.00 90.00 90.00
Closest atoms and distances in Å follow each position.
Element x y z (fractional)
Ir: 0.0000 0.0000 0.0000  6 Be 2.13
Be: 0.5000 0.0000 0.0000  2 Ir 2.13
Be: 0.0000 0.0000 0.5000  2 Ir 2.13
Be: 0.0000 0.5000 0.0000  2 Ir 2.13
Li: 0.5000 0.5000 0.5000  12 Be 3.01

Computed properties:
The density of states at the Fermi level is 1.4 states/eV/f.u. The total energy comes out at -21.391 eV per cell. As for the energy above the most stable polymorph in this dataset: 0.0 meV/atom. For the formation energy, the calculation gives 112 meV per atom.

***

Record 9
An optimized crystal structure of K2MnPt. Source: Alexandria, functional PBE-GGA.

abc: 3.6121 3.6088 10.0224
angles: 90.00 90.00 90.00
Closest atoms and distances in Å follow each position.
Element x y z (fractional)
Pt: 0.5000 0.5000 0.6540  4 Mn 2.61
K: 0.5000 0.5000 0.3297  1 Pt 3.25, 4 K 3.61
Mn: 0.0000 0.0000 0.6009  4 Pt 2.61
K: 0.0000 0.0000 0.9154  1 Mn 3.15

Computed properties:
The density of states at the Fermi level is 2.8 states/eV/f.u. The total energy comes out at -16.796 eV per cell. As for the energy above the most stable polymorph in this dataset: 32.7 meV/atom. For the formation energy, the calculation gives 152 meV per atom.

***

Record 10
An optimized crystal structure of CsKCd2. Source: Alexandria, functional PBE-GGA.

abc: 4.7115 4.7115 10.9884
angles: 77.62 77.62 60.00
Closest atoms and distances in Å follow each position.
Element x y z (fractional)
Cs: 0.4994 0.4994 0.5018  6 Cd 3.92-3.95
Cd: 0.2556 0.2556 0.2332  3 K 3.69, 3 Cs 3.95
Cd: 0.0778 0.0778 0.7665  3 K 3.67, 3 Cs 3.92
K: 0.6672 0.6672 0.9985  6 Cd 3.67-3.69

Computed properties:
The density of states at the Fermi level is 4.7 states/eV/f.u. The total energy comes out at -3.323 eV per cell. As for the energy above the most stable polymorph in this dataset: 178.8 meV/atom. For the formation energy, the calculation gives 115 meV per atom.

***

Record 11
An optimized crystal structure of Cs3Rb12Ag. Source: Alexandria, functional PBE-GGA.

abc: 7.0662 7.0662 27.5279
angles: 90.00 90.00 90.00
Closest atoms and distances in Å follow each position.
Element x y z (fractional)
Rb: 0.5000 0.0000 0.3626  8 Rb 5.00-5.18, 4 Cs 5.16-5.18
Rb: 0.0000 0.5000 0.6374  8 Rb 5.00-5.18, 4 Cs 5.16-5.18
Cs: 0.0000 0.0000 0.7740  12 Rb 5.00-5.16
Rb: 0.5000 0.0000 0.0900  2 Rb 4.32, 2 Ag 4.32
Rb: 0.5000 0.5000 0.2262  4 Cs 5.00, 8 Rb 5.15-5.16
Rb: 0.0000 0.5000 0.9100  2 Rb 4.32, 2 Ag 4.32
Rb: 0.5000 0.0000 0.6374  8 Rb 5.00-5.18, 4 Cs 5.16-5.18
Rb: 0.0000 0.5000 0.3626  8 Rb 5.00-5.18, 4 Cs 5.16-5.18
Rb: 0.5000 0.5000 0.7738  4 Cs 5.00, 8 Rb 5.15-5.16
Rb: 0.5000 0.0000 0.9100  2 Rb 4.32, 2 Ag 4.32
Rb: 0.5000 0.5000 0.0000  8 Rb 4.32
Cs: 0.0000 0.0000 0.5000  12 Rb 5.00-5.18
Rb: 0.5000 0.5000 0.5000  4 Cs 5.00, 8 Rb 5.18
Ag: 0.0000 0.0000 0.0000  8 Rb 4.32
Rb: 0.0000 0.5000 0.0900  2 Rb 4.32, 2 Ag 4.32
Cs: 0.0000 0.0000 0.2260  12 Rb 5.00-5.16

Computed properties:
The density of states at the Fermi level is 13.7 states/eV/f.u. The total energy comes out at -16.292 eV per cell. For the formation energy, the calculation gives 46 meV per atom.

***

Record 12
An optimized crystal structure of Tb2Al4ZnAg3. Source: Alexandria, functional PBE-GGA.

abc: 4.2538 4.2538 10.9982
angles: 90.00 90.00 90.00
Closest atoms and distances in Å follow each position.
Element x y z (fractional)
Al: 0.5000 0.0000 0.6346  3 Ag 2.50-2.59, 2 Zn 2.59
Tb: 0.0000 0.5000 0.7449  8 Al 3.24-3.52, 6 Ag 3.27-3.43, 2 Zn 3.43
Zn: 0.5000 0.5000 0.5000  4 Al 2.59
Al: 0.5000 0.5000 0.0000  4 Ag 2.61
Ag: 0.5000 0.0000 0.8617  5 Al 2.50-2.61
Al: 0.0000 0.5000 0.3654  3 Ag 2.50-2.59, 2 Zn 2.59
Al: 0.0000 0.0000 0.0000  4 Ag 2.61
Tb: 0.5000 0.0000 0.2551  8 Al 3.24-3.52, 6 Ag 3.27-3.43, 2 Zn 3.43
Ag: 0.0000 0.0000 0.5000  4 Al 2.59
Ag: 0.0000 0.5000 0.1383  5 Al 2.50-2.61

Computed properties:
The density of states at the Fermi level is 5.8 states/eV/f.u. The total energy comes out at -37.327 eV per cell. For the formation energy, the calculation gives -327 meV per atom.

***

Record 13
An optimized crystal structure of ScAg4As. Source: Alexandria, functional PBE-GGA.

abc: 5.5042 5.5042 5.5042
angles: 60.00 60.00 60.00
Closest atoms and distances in Å follow each position.
Element x y z (fractional)
Ag: 0.3748 0.8755 0.3748  6 Ag 2.75-2.76
Ag: 0.3748 0.3748 0.8755  6 Ag 2.75-2.76
Ag: 0.8755 0.3748 0.3748  6 Ag 2.75-2.76
As: 0.7500 0.7500 0.7500  12 Ag 3.23, 4 Sc 3.37
Sc: 0.0000 0.0000 0.0000  12 Ag 3.23, 4 As 3.37
Ag: 0.3748 0.3748 0.3748  6 Ag 2.75-2.76

Computed properties:
The density of states at the Fermi level is 2.6 states/eV/f.u. The total energy comes out at -22.425 eV per cell. For the formation energy, the calculation gives -7 meV per atom.